No. 1
Compound: TlAgPb
Source: the Alexandria database
Functional: PBE-GGA
Structure: relaxed

Computed properties:
Calculated formation energy, eV/atom: 0.653

Unit cell a=4.7440 b=4.7440 c=12.0033 alpha=90.00 beta=90.00 gamma=120.00
Last column: nearest neighbours and their distance in Å.
Element x y z (fractional)
Tl 0.0000 0.0000 0.2500  3 Ag 2.74, 2 Pb 3.00
Tl 0.0000 0.0000 0.7500  3 Ag 2.74, 2 Pb 3.00
Ag 0.3333 0.6667 0.2500  3 Tl 2.74
Ag 0.6667 0.3333 0.7500  3 Tl 2.74
Pb 0.0000 0.0000 0.0000  2 Tl 3.00
Pb 0.0000 0.0000 0.5000  2 Tl 3.00

No. 2
Compound: Tl2AgSe3
Source: the Alexandria database
Functional: PBE-GGA
Structure: relaxed

Computed properties:
Formation energy without anion corrections, eV per atom: -0.182

Unit cell a=4.6730 b=13.3852 c=6.2047 alpha=90.00 beta=90.00 gamma=90.00
Last column: nearest neighbours and their distance in Å.
Element x y z (fractional)
Tl 0.0000 0.1608 0.0000  4 Se 2.78-2.83
Tl 0.0000 0.8392 0.0000  4 Se 2.78-2.83
Tl 0.5000 0.3392 0.5000  4 Se 2.78-2.83
Tl 0.5000 0.6608 0.5000  4 Se 2.78-2.83
Ag 0.0000 0.5000 0.0164  4 Se 2.65-2.70
Ag 0.5000 0.0000 0.5164  4 Se 2.65-2.70
Se 0.0000 0.0000 0.7173  2 Ag 2.65, 2 Tl 2.78
Se 0.0000 0.3386 0.7566  1 Ag 2.70, 3 Tl 2.82-2.83
Se 0.0000 0.6614 0.7566  1 Ag 2.70, 3 Tl 2.82-2.83
Se 0.5000 0.1614 0.2566  1 Ag 2.70, 3 Tl 2.82-2.83
Se 0.5000 0.5000 0.2173  2 Ag 2.65, 2 Tl 2.78
Se 0.5000 0.8386 0.2566  1 Ag 2.70, 3 Tl 2.82-2.83

No. 3
Compound: InNiRh
Source: the Alexandria database
Functional: PBE-GGA
Structure: relaxed

Computed properties:
Calculated formation energy, eV/atom: -0.100
Energy above the most stable polymorph in this dataset, eV per formula unit: 0.00

Unit cell a=4.6886 b=4.5084 c=4.8723 alpha=90.00 beta=117.32 gamma=90.00
Last column: nearest neighbours and their distance in Å.
Element x y z (fractional)
In 0.0199 0.2500 0.2087  4 Ni 2.61-2.76, 5 Rh 2.74-2.87
In 0.9801 0.7500 0.7913  4 Ni 2.61-2.76, 5 Rh 2.74-2.87
Ni 0.3531 0.7500 0.5163  4 In 2.61-2.76, 4 Rh 2.66-2.79, 2 Ni 2.68
Ni 0.6469 0.2500 0.4837  4 In 2.61-2.76, 4 Rh 2.66-2.79, 2 Ni 2.68
Rh 0.3539 0.2500 0.8399  5 Ni 2.66-2.95, 2 Rh 2.73, 5 In 2.74-2.87
Rh 0.6461 0.7500 0.1601  5 Ni 2.66-2.95, 2 Rh 2.73, 5 In 2.74-2.87

In eV/atom, the uncorrected energy values for the records above are, in order, -2.32 -3.19 -5.39.